1.
Tb6Ho2Tl | GGA-PBE | relaxed

Computed properties:
- Space group: C2/c (15)
- V: 275.9 Å³/f.u.
- Crystal system: monoclinic

a b c (Å): 10.958 10.958 8.970
angles (deg): 108.57 108.57 32.89
Fractional positions:
Tb: 0.001 0.673 0.083
Tb: 0.119 0.774 0.864
Tb: 0.226 0.881 0.636
Tb: 0.241 0.540 0.471
Tb: 0.327 0.999 0.417
Tb: 0.460 0.759 0.029
Tb: 0.540 0.241 0.971
Tb: 0.673 0.001 0.583
Tb: 0.759 0.460 0.529
Tb: 0.774 0.119 0.364
Tb: 0.881 0.226 0.136
Tb: 0.999 0.327 0.917
Ho: 0.108 0.446 0.695
Ho: 0.446 0.108 0.195
Ho: 0.554 0.892 0.805
Ho: 0.892 0.554 0.305
Tl: 0.334 0.666 0.250
Tl: 0.666 0.334 0.750

2.
Tb6Ho2Tl | GGA-PBE | relaxed

Computed properties:
- Space group: P4_2/mnm (136)
- V: 276.4 Å³/f.u.
- Crystal system: tetragonal

a b c (Å): 10.638 10.638 4.886
angles (deg): 90.00 90.00 90.00
Fractional positions:
Tb: 0.000 0.336 0.000
Tb: 0.000 0.664 0.000
Tb: 0.161 0.161 0.500
Tb: 0.164 0.500 0.500
Tb: 0.336 0.000 0.000
Tb: 0.339 0.661 0.000
Tb: 0.500 0.164 0.500
Tb: 0.500 0.836 0.500
Tb: 0.661 0.339 0.000
Tb: 0.664 0.000 0.000
Tb: 0.836 0.500 0.500
Tb: 0.839 0.839 0.500
Ho: 0.162 0.838 0.500
Ho: 0.338 0.338 0.000
Ho: 0.662 0.662 0.000
Ho: 0.838 0.162 0.500
Tl: 0.000 0.000 0.000
Tl: 0.500 0.500 0.500

How do the energies compare? Relative to the most stable structure, in eV/atom: 1 0.000; 2 0.025.

1.
TbHo4Tl | GGA-PBE | relaxed

Computed properties:
- Space group: Cmc2_1 (36)
- V: 188.4 Å³/f.u.
- Crystal system: orthorhombic

a b c (Å): 10.882 10.882 6.491
angles (deg): 90.00 90.00 150.64
Fractional positions:
Tb: 0.064 0.936 0.500
Tb: 0.936 0.064 0.000
Ho: 0.137 0.863 0.988
Ho: 0.254 0.746 0.622
Ho: 0.318 0.682 0.146
Ho: 0.461 0.539 0.324
Ho: 0.539 0.461 0.824
Ho: 0.682 0.318 0.646
Ho: 0.746 0.254 0.122
Ho: 0.863 0.137 0.488
Tl: 0.397 0.603 0.749
Tl: 0.603 0.397 0.249

2.
TbHo4Tl | GGA-PBE | relaxed

Computed properties:
- Space group: P4/mmm (123)
- V: 180.9 Å³/f.u.
- Crystal system: tetragonal

a b c (Å): 3.572 3.572 14.174
angles (deg): 90.00 90.00 90.00
Fractional positions:
Tb: 0.000 0.000 0.000
Ho: 0.000 0.000 0.350
Ho: 0.000 0.000 0.650
Ho: 0.500 0.500 0.176
Ho: 0.500 0.500 0.824
Tl: 0.500 0.500 0.500

How do the energies compare? Relative to the most stable structure, in eV/atom: 1 0.140; 2 0.000.

1.
Tb4HoTl | GGA-PBE | relaxed

Computed properties:
- Space group: C2/c (15)
- V: 187.4 Å³/f.u.
- Crystal system: monoclinic

a b c (Å): 8.282 8.282 6.463
angles (deg): 99.77 99.77 116.66
Fractional positions:
Tb: 0.094 0.714 0.959
Tb: 0.161 0.411 0.619
Tb: 0.286 0.906 0.541
Tb: 0.411 0.161 0.119
Tb: 0.589 0.839 0.881
Tb: 0.714 0.094 0.459
Tb: 0.839 0.589 0.381
Tb: 0.906 0.286 0.041
Ho: 0.411 0.589 0.250
Ho: 0.589 0.411 0.750
Tl: 0.000 0.000 0.250
Tl: 0.000 0.000 0.750

2.
Tb4HoTl | GGA-PBE | relaxed

Computed properties:
- Space group: P4/mmm (123)
- V: 184.0 Å³/f.u.
- Crystal system: tetragonal

a b c (Å): 3.588 3.588 14.293
angles (deg): 90.00 90.00 90.00
Fractional positions:
Tb: 0.000 0.000 0.150
Tb: 0.000 0.000 0.850
Tb: 0.500 0.500 0.326
Tb: 0.500 0.500 0.674
Ho: 0.000 0.000 0.500
Tl: 0.500 0.500 0.000

How do the energies compare? Relative to the most stable structure, in eV/atom: 1 0.087; 2 0.000.

1.
Tb4Ho2Tl | GGA-PBE | relaxed

Computed properties:
- Space group: P2_1/m (11)
- V: 216.9 Å³/f.u.
- Crystal system: monoclinic

a b c (Å): 5.650 6.762 11.644
angles (deg): 90.00 102.84 90.00
Fractional positions:
Tb: 0.113 0.250 0.142
Tb: 0.227 0.750 0.414
Tb: 0.335 0.510 0.707
Tb: 0.335 0.990 0.707
Tb: 0.665 0.010 0.293
Tb: 0.665 0.490 0.293
Tb: 0.773 0.250 0.586
Tb: 0.887 0.750 0.858
Ho: 0.209 0.250 0.437
Ho: 0.454 0.750 0.021
Ho: 0.546 0.250 0.979
Ho: 0.791 0.750 0.563
Tl: 0.014 0.750 0.142
Tl: 0.986 0.250 0.858

2.
Tb4Ho2Tl | GGA-PBE | relaxed

Computed properties:
- Space group: P2_1/c (14)
- V: 216.0 Å³/f.u.
- Crystal system: monoclinic

a b c (Å): 3.537 21.184 11.533
angles (deg): 90.00 90.12 90.00
Fractional positions:
Tb: 0.245 0.245 0.172
Tb: 0.245 0.255 0.672
Tb: 0.246 0.542 0.616
Tb: 0.246 0.958 0.116
Tb: 0.248 0.038 0.384
Tb: 0.248 0.462 0.884
Tb: 0.251 0.688 0.074
Tb: 0.251 0.812 0.574
Tb: 0.749 0.188 0.426
Tb: 0.749 0.312 0.926
Tb: 0.752 0.538 0.116
Tb: 0.752 0.962 0.616
Tb: 0.754 0.042 0.884
Tb: 0.754 0.458 0.384
Tb: 0.755 0.745 0.328
Tb: 0.755 0.755 0.828
Ho: 0.253 0.101 0.650
Ho: 0.253 0.399 0.150
Ho: 0.255 0.604 0.343
Ho: 0.255 0.896 0.843
Ho: 0.745 0.104 0.157
Ho: 0.745 0.396 0.657
Ho: 0.747 0.601 0.850
Ho: 0.747 0.899 0.350
Tl: 0.253 0.174 0.917
Tl: 0.253 0.326 0.417
Tl: 0.747 0.674 0.583
Tl: 0.747 0.826 0.083

How do the energies compare? Relative to the most stable structure, in eV/atom: 1 0.036; 2 0.000.

1.
Tb2Ho2Tl | GGA-PBE | relaxed

Computed properties:
- Space group: P4/mbm (127)
- V: 156.1 Å³/f.u.
- Crystal system: tetragonal

a b c (Å): 8.190 8.190 4.656
angles (deg): 90.00 90.00 90.00
Fractional positions:
Tb: 0.149 0.351 0.000
Tb: 0.351 0.851 0.000
Tb: 0.649 0.149 0.000
Tb: 0.851 0.649 0.000
Ho: 0.151 0.651 0.500
Ho: 0.349 0.151 0.500
Ho: 0.651 0.849 0.500
Ho: 0.849 0.349 0.500
Tl: 0.000 0.000 0.000
Tl: 0.500 0.500 0.000

2.
Tb2Ho2Tl | GGA-PBE | relaxed

Computed properties:
- Space group: C2/m (12)
- V: 151.8 Å³/f.u.
- Crystal system: monoclinic

a b c (Å): 6.350 6.350 8.499
angles (deg): 107.25 107.25 97.46
Fractional positions:
Tb: 0.115 0.746 0.783
Tb: 0.254 0.885 0.217
Tb: 0.746 0.115 0.783
Tb: 0.885 0.254 0.217
Ho: 0.223 0.223 0.617
Ho: 0.341 0.341 0.072
Ho: 0.659 0.659 0.928
Ho: 0.777 0.777 0.383
Tl: 0.334 0.666 0.500
Tl: 0.666 0.334 0.500

How do the energies compare? Relative to the most stable structure, in eV/atom: 1 0.109; 2 0.000.

1.
Tb4Ho3Tl | GGA-PBE | relaxed

Computed properties:
- Space group: Pmn2_1 (31)
- V: 242.7 Å³/f.u.
- Crystal system: orthorhombic

a b c (Å): 11.176 7.036 6.173
angles (deg): 90.00 90.00 90.00
Fractional positions:
Tb: 0.000 0.128 0.000
Tb: 0.000 0.869 0.464
Tb: 0.236 0.872 0.823
Tb: 0.264 0.128 0.323
Tb: 0.500 0.131 0.964
Tb: 0.500 0.872 0.500
Tb: 0.736 0.128 0.323
Tb: 0.764 0.872 0.823
Ho: 0.000 0.369 0.471
Ho: 0.243 0.384 0.804
Ho: 0.257 0.616 0.304
Ho: 0.500 0.631 0.971
Ho: 0.743 0.616 0.304
Ho: 0.757 0.384 0.804
Tl: 0.000 0.618 0.982
Tl: 0.500 0.382 0.482

2.
Tb4Ho3Tl | GGA-PBE | relaxed

Computed properties:
- Space group: P4/mmm (123)
- V: 244.9 Å³/f.u.
- Crystal system: tetragonal

a b c (Å): 4.102 4.102 14.560
angles (deg): 90.00 90.00 90.00
Fractional positions:
Tb: 0.000 0.000 0.114
Tb: 0.000 0.000 0.371
Tb: 0.000 0.000 0.629
Tb: 0.000 0.000 0.886
Ho: 0.500 0.500 0.248
Ho: 0.500 0.500 0.500
Ho: 0.500 0.500 0.752
Tl: 0.500 0.500 0.000

How do the energies compare? Relative to the most stable structure, in eV/atom: 1 0.000; 2 0.083.

1.
Tb3Ho6Tl | GGA-PBE | relaxed

Computed properties:
- Space group: P2_1/m (11)
- V: 308.5 Å³/f.u.
- Crystal system: monoclinic

a b c (Å): 12.690 3.488 14.178
angles (deg): 90.00 100.55 90.00
Fractional positions:
Tb: 0.074 0.250 0.102
Tb: 0.370 0.750 0.497
Tb: 0.423 0.250 0.903
Tb: 0.577 0.750 0.097
Tb: 0.630 0.250 0.503
Tb: 0.926 0.750 0.898
Ho: 0.114 0.250 0.467
Ho: 0.192 0.750 0.924
Ho: 0.226 0.750 0.285
Ho: 0.247 0.750 0.692
Ho: 0.342 0.250 0.117
Ho: 0.489 0.250 0.691
Ho: 0.511 0.750 0.309
Ho: 0.658 0.750 0.883
Ho: 0.753 0.250 0.308
Ho: 0.774 0.250 0.715
Ho: 0.808 0.250 0.076
Ho: 0.886 0.750 0.533
Tl: 0.034 0.250 0.722
Tl: 0.966 0.750 0.278

2.
Tb3Ho6Tl | GGA-PBE | relaxed

Computed properties:
- Space group: P2_1/m (11)
- V: 309.7 Å³/f.u.
- Crystal system: monoclinic

a b c (Å): 12.810 3.541 14.375
angles (deg): 90.00 108.21 90.00
Fractional positions:
Tb: 0.010 0.250 0.397
Tb: 0.377 0.250 0.997
Tb: 0.468 0.250 0.592
Tb: 0.532 0.750 0.408
Tb: 0.623 0.750 0.003
Tb: 0.990 0.750 0.603
Ho: 0.139 0.750 0.023
Ho: 0.144 0.250 0.808
Ho: 0.218 0.250 0.599
Ho: 0.254 0.750 0.396
Ho: 0.336 0.250 0.217
Ho: 0.385 0.750 0.789
Ho: 0.615 0.250 0.211
Ho: 0.664 0.750 0.783
Ho: 0.746 0.250 0.604
Ho: 0.782 0.750 0.401
Ho: 0.856 0.750 0.192
Ho: 0.861 0.250 0.977
Tl: 0.078 0.250 0.196
Tl: 0.922 0.750 0.804

How do the energies compare? Relative to the most stable structure, in eV/atom: 1 0.026; 2 0.000.

1.
TbHo3Tl | GGA-PBE | relaxed

Computed properties:
- Space group: Cmcm (63)
- V: 145.5 Å³/f.u.
- Crystal system: orthorhombic

a b c (Å): 12.881 12.881 4.785
angles (deg): 90.00 90.00 158.50
Fractional positions:
Tb: 0.149 0.851 0.750
Tb: 0.851 0.149 0.250
Ho: 0.048 0.952 0.250
Ho: 0.251 0.749 0.250
Ho: 0.448 0.552 0.250
Ho: 0.552 0.448 0.750
Ho: 0.749 0.251 0.750
Ho: 0.952 0.048 0.750
Tl: 0.348 0.652 0.750
Tl: 0.652 0.348 0.250

2.
TbHo3Tl | GGA-PBE | relaxed

Computed properties:
- Space group: C2/c (15)
- V: 150.7 Å³/f.u.
- Crystal system: monoclinic

a b c (Å): 9.797 9.797 6.507
angles (deg): 100.36 100.36 84.12
Fractional positions:
Tb: 0.037 0.172 0.464
Tb: 0.172 0.037 0.964
Tb: 0.828 0.963 0.036
Tb: 0.963 0.828 0.536
Ho: 0.093 0.712 0.023
Ho: 0.124 0.499 0.360
Ho: 0.231 0.376 0.858
Ho: 0.288 0.907 0.477
Ho: 0.376 0.231 0.358
Ho: 0.499 0.124 0.860
Ho: 0.501 0.876 0.140
Ho: 0.624 0.769 0.642
Ho: 0.712 0.093 0.523
Ho: 0.769 0.624 0.142
Ho: 0.876 0.501 0.640
Ho: 0.907 0.288 0.977
Tl: 0.333 0.667 0.750
Tl: 0.417 0.583 0.250
Tl: 0.583 0.417 0.750
Tl: 0.667 0.333 0.250

How do the energies compare? Relative to the most stable structure, in eV/atom: 1 0.000; 2 0.076.

1.
TbHoTmTl | GGA-PBE | relaxed

Computed properties:
- Space group: Pmmm (47)
- V: 112.7 Å³/f.u.
- Crystal system: orthorhombic

a b c (Å): 4.817 4.830 4.842
angles (deg): 90.00 90.00 90.00
Fractional positions:
Tb: 0.000 0.000 0.000
Ho: 0.500 0.500 0.000
Tm: 0.500 0.000 0.500
Tl: 0.000 0.500 0.500

2.
TbHoTmTl | GGA-PBE | relaxed

Computed properties:
- Space group: F-43m (216)
- V: 114.0 Å³/f.u.
- Crystal system: cubic

a b c (Å): 5.443 5.443 5.443
angles (deg): 60.00 60.00 60.00
Fractional positions:
Tb: 0.000 0.000 0.000
Ho: 0.500 0.500 0.500
Tm: 0.250 0.250 0.250
Tl: 0.750 0.750 0.750

How do the energies compare? Relative to the most stable structure, in eV/atom: 1 0.000; 2 0.140.

1.
TbYHoTl | GGA-PBE | relaxed

Computed properties:
- Space group: F-43m (216)
- V: 115.9 Å³/f.u.
- Crystal system: cubic

a b c (Å): 5.472 5.472 5.472
angles (deg): 60.00 60.00 60.00
Fractional positions:
Tb: 0.000 0.000 0.000
Y: 0.500 0.500 0.500
Ho: 0.750 0.750 0.750
Tl: 0.250 0.250 0.250

2.
TbYHoTl | GGA-PBE | relaxed

Computed properties:
- Space group: Pmmm (47)
- V: 114.5 Å³/f.u.
- Crystal system: orthorhombic

a b c (Å): 4.834 4.850 4.885
angles (deg): 90.00 90.00 90.00
Fractional positions:
Tb: 0.000 0.000 0.000
Y: 0.500 0.000 0.500
Ho: 0.500 0.500 0.000
Tl: 0.000 0.500 0.500

How do the energies compare? Relative to the most stable structure, in eV/atom: 1 0.143; 2 0.000.